GGA-PBE LaPaNi2P2, optimized geometry; M_tot = 0.00 μB per cell; D(E_F) = 0.92 states/eV per atom; calculated formation energy = -1155 meV/atom
1.0
3.941 0.000 0.000
-1.971 3.413 0.000
0.000 0.000 8.063
La Pa Ni P
1 1 2 2
Cartesian
0.000 0.000 0.000 La
0.000 0.000 4.031 Pa
0.000 2.275 2.311 Ni
1.971 1.138 5.751 Ni
0.000 2.275 5.991 P
1.971 1.138 2.072 P

GGA-PBE ScAlGa2I, optimized geometry; M_tot = 0.00 μB per cell; energy relative to the elements, uncorrected = 0.79 eV per atom; D(E_F) = 1.16 states/eV per atom
1.0
5.670 0.000 0.000
0.000 5.670 0.000
0.000 0.000 5.345
Sc Al Ga I
1 1 2 1
Cartesian
0.000 0.000 0.000 Sc
2.835 2.835 0.000 Al
0.000 2.835 2.673 Ga
2.835 0.000 2.673 Ga
0.000 0.000 2.673 I

GGA-PBE ZnCrHg2Bi, optimized geometry; M_tot = 2.82 μB per cell; D(E_F) = 0.34 states/eV per atom; calculated formation energy = 488 meV/atom
1.0
5.420 0.000 0.000
0.000 5.420 0.000
0.000 0.000 5.143
Zn Cr Hg Bi
1 1 2 1
Cartesian
0.000 0.000 0.000 Zn
2.710 2.710 2.571 Cr
0.000 2.710 2.571 Hg
2.710 0.000 2.571 Hg
2.710 2.710 0.000 Bi

GGA-PBE CsP2AuO8, optimized geometry; M_tot = 0.00 μB per cell; energy relative to the elements, uncorrected = -1.47 eV per atom
1.0
2.434 1.405 9.393
-2.434 1.405 9.393
0.000 -2.810 9.393
Cs P Au O
1 2 1 8
Cartesian
0.000 0.000 0.000 Cs
0.000 0.000 6.443 P
0.000 0.000 21.737 P
0.000 0.000 14.090 Au
-1.623 -0.149 12.841 O
-0.683 -1.480 15.339 O
0.000 0.000 7.953 O
0.941 -1.331 12.841 O
-0.941 1.331 15.339 O
0.000 0.000 20.227 O
0.683 1.480 12.841 O
1.623 0.149 15.339 O

GGA-PBE LiAgHg, optimized geometry; M_tot = 0.00 μB per cell; D(E_F) = 0.52 states/eV per atom; calculated formation energy = -107 meV/atom; polymorph energy (0 for the lowest one) = 0.104 eV per atom
1.0
3.096 0.000 0.000
-1.548 2.681 0.000
0.000 0.000 6.901
Li Ag Hg
1 1 1
Cartesian
0.000 0.000 0.000 Li
1.548 0.894 2.126 Ag
0.000 1.788 4.665 Hg

GGA-PBE CeDy4ErS8, optimized geometry; M_tot = 1.70 μB per cell; energy relative to the elements, uncorrected = -1.91 eV per atom; D(E_F) = 0.89 states/eV per atom
1.0
4.051 2.339 6.597
-4.051 2.339 6.597
0.000 -4.677 6.597
Ce Dy Er S
1 4 1 8
Cartesian
0.000 0.000 0.000 Ce
-2.023 -1.168 9.065 Dy
0.000 0.000 4.934 Dy
2.023 -1.168 9.065 Dy
0.000 2.336 9.065 Dy
0.000 0.000 12.365 Er
0.000 0.000 7.553 S
0.000 -2.189 10.684 S
-1.896 1.095 10.684 S
-1.827 -1.055 14.076 S
1.896 1.095 10.684 S
1.827 -1.055 14.076 S
0.000 2.109 14.076 S
0.000 0.000 17.084 S

GGA-PBE NbCoBr2, optimized geometry; M_tot = 1.23 μB per cell; energy relative to the elements, uncorrected = 0.28 eV per atom; D(E_F) = 1.06 states/eV per atom; polymorph energy (0 for the lowest one) = 0.000 eV per atom
1.0
1.644 0.949 8.451
-1.644 0.949 8.451
0.000 -1.899 8.451
Nb Co Br
1 1 2
Cartesian
0.000 0.000 0.000 Nb
0.000 0.000 12.677 Co
0.000 0.000 10.358 Br
0.000 0.000 14.995 Br

GGA-PBE Nd2HoHg6, optimized geometry; M_tot = 0.39 μB per cell; D(E_F) = 0.75 states/eV per atom; calculated formation energy = -409 meV/atom
1.0
8.701 0.000 0.000
-4.350 7.535 0.000
0.000 0.000 3.471
Nd Ho Hg
2 1 6
Cartesian
0.000 5.023 0.000 Nd
4.350 2.512 0.000 Nd
0.000 0.000 0.000 Ho
-1.439 2.492 1.735 Hg
-2.912 5.044 1.735 Hg
2.877 0.000 1.735 Hg
1.439 2.492 1.735 Hg
5.824 0.000 1.735 Hg
2.912 5.044 1.735 Hg

GGA-PBE Ba2SrHRu, optimized geometry; M_tot = 0.00 μB per cell; D(E_F) = 0.95 states/eV per atom; polymorph energy (0 for the lowest one) = 0.053 eV per atom
1.0
5.866 0.000 0.000
0.000 5.866 0.000
0.000 0.000 5.846
Ba Sr H Ru
2 1 1 1
Cartesian
0.000 2.933 0.000 Ba
2.933 0.000 0.000 Ba
0.000 0.000 2.923 Sr
2.933 2.933 2.923 H
0.000 0.000 0.000 Ru

GGA-PBE Tb3PmDy6Tm2, optimized geometry; M_tot = 0.00 μB per cell; D(E_F) = 1.28 states/eV per atom; calculated formation energy = 17 meV/atom
1.0
3.071 -5.313 0.000
3.071 5.313 0.000
-2.034 0.000 11.579
Tb Pm Dy Tm
3 1 6 2
Cartesian
0.000 0.000 0.000 Tb
3.071 1.774 0.000 Tb
3.071 -1.774 0.000 Tb
2.054 0.000 5.789 Pm
1.021 1.775 2.899 Dy
0.008 0.000 8.678 Dy
1.021 -1.775 2.899 Dy
3.086 1.775 8.680 Dy
4.099 0.000 2.900 Dy
3.086 -1.775 8.680 Dy
2.054 3.541 5.789 Tm
2.054 -3.541 5.789 Tm

GGA-PBE Tb8ZnTe3Se3, optimized geometry; M_tot = 0.00 μB per cell; energy relative to the elements, uncorrected = -1.23 eV per atom; D(E_F) = 0.64 states/eV per atom
1.0
4.176 2.411 7.043
-4.176 2.411 7.043
0.000 -4.822 7.043
Tb Zn Te Se
8 1 3 3
Cartesian
0.000 0.000 5.070 Tb
-2.077 -1.199 12.140 Tb
0.000 -2.399 8.990 Tb
-2.077 1.199 8.990 Tb
2.077 -1.199 12.140 Tb
0.000 2.399 12.140 Tb
2.077 1.199 8.990 Tb
0.000 0.000 16.060 Tb
0.000 0.000 10.565 Zn
-2.088 -1.206 7.043 Te
-2.088 1.206 14.086 Te
0.000 2.411 7.043 Te
-4.176 0.000 10.565 Se
-2.088 1.206 3.522 Se
2.088 1.206 3.522 Se

GGA-PBE U2Ni3Ge4Ir, optimized geometry; M_tot = 4.38 μB per cell; D(E_F) = 1.96 states/eV per atom; calculated formation energy = -419 meV/atom
1.0
4.098 0.000 0.000
0.000 4.098 0.000
0.000 0.000 9.782
U Ni Ge Ir
2 3 4 1
Cartesian
0.000 2.049 2.428 U
2.049 0.000 7.353 U
0.000 2.049 8.586 Ni
2.049 0.000 1.196 Ni
2.049 2.049 4.891 Ni
0.000 0.000 0.000 Ge
0.000 2.049 6.282 Ge
2.049 0.000 3.499 Ge
2.049 2.049 0.000 Ge
0.000 0.000 4.891 Ir

GGA-PBE CaZrIr2, optimized geometry; M_tot = 0.00 μB per cell; D(E_F) = 0.31 states/eV per atom; calculated formation energy = -231 meV/atom
1.0
3.575 -1.579 0.000
3.575 1.579 0.000
-1.155 0.000 7.373
Ca Zr Ir
1 1 2
Cartesian
0.000 0.000 0.000 Ca
2.998 0.000 3.686 Zr
0.900 0.000 5.324 Ir
5.095 0.000 2.048 Ir

GGA-PBE LaDy3Th4S8, optimized geometry; M_tot = 0.00 μB per cell; energy relative to the elements, uncorrected = -1.93 eV per atom; D(E_F) = 0.32 states/eV per atom
1.0
3.947 2.279 6.731
-3.947 2.279 6.731
0.000 -4.558 6.731
La Dy Th S
1 3 4 8
Cartesian
0.000 0.000 0.000 La
-1.973 -1.139 6.731 Dy
-1.973 1.139 13.462 Dy
0.000 2.279 6.731 Dy
-3.947 0.000 10.096 Th
-1.973 1.139 3.365 Th
1.973 1.139 3.365 Th
0.000 0.000 10.096 Th
0.000 -2.217 8.347 S
-1.920 1.109 8.347 S
0.000 0.000 5.152 S
-1.920 -1.109 11.845 S
1.920 1.109 8.347 S
0.000 0.000 15.040 S
1.920 -1.109 11.845 S
0.000 2.217 11.845 S

GGA-PBE Ac2MgIn3Ag4, optimized geometry; M_tot = 0.00 μB per cell; D(E_F) = 0.76 states/eV per atom; calculated formation energy = -304 meV/atom
1.0
4.764 0.000 0.000
0.000 4.764 0.000
0.000 0.000 11.398
Ac Mg In Ag
2 1 3 4
Cartesian
0.000 2.382 2.741 Ac
2.382 0.000 8.657 Ac
0.000 0.000 5.699 Mg
0.000 2.382 9.910 In
2.382 0.000 1.488 In
2.382 2.382 5.699 In
0.000 0.000 0.000 Ag
0.000 2.382 7.190 Ag
2.382 0.000 4.208 Ag
2.382 2.382 0.000 Ag

GGA-PBE K2TaTl, optimized geometry; M_tot = 0.00 μB per cell; D(E_F) = 0.90 states/eV per atom; calculated formation energy = 998 meV/atom; polymorph energy (0 for the lowest one) = 0.237 eV per atom
1.0
3.068 0.000 0.000
0.000 6.160 0.000
-0.122 0.000 6.217
K Ta Tl
2 1 1
Cartesian
-0.027 0.000 1.557 K
2.973 0.000 4.660 K
1.473 3.080 3.109 Ta
1.534 3.080 0.000 Tl

GGA-PBE Tb5DyTl3, optimized geometry; M_tot = 2.90 μB per cell; D(E_F) = 1.23 states/eV per atom; calculated formation energy = -262 meV/atom
1.0
9.407 0.000 0.000
-4.704 8.147 0.000
0.000 0.000 6.743
Tb Dy Tl
10 2 6
Cartesian
-1.569 2.718 1.686 Tb
-3.134 5.429 5.057 Tb
0.000 5.431 0.000 Tb
0.000 5.431 3.372 Tb
3.139 0.000 1.686 Tb
1.569 2.718 5.057 Tb
6.268 0.000 5.057 Tb
3.134 5.429 1.686 Tb
4.704 2.716 0.000 Tb
4.704 2.716 3.372 Tb
0.000 0.000 0.000 Dy
0.000 0.000 3.372 Dy
-1.564 2.709 5.057 Tl
-3.139 5.437 1.686 Tl
3.129 0.000 5.057 Tl
1.564 2.709 1.686 Tl
6.278 0.000 1.686 Tl
3.139 5.437 5.057 Tl

GGA-PBE Th5U, optimized geometry; M_tot = 2.34 μB per cell; D(E_F) = 2.32 states/eV per atom; calculated formation energy = 176 meV/atom
1.0
2.467 -7.463 0.000
2.467 7.463 0.000
0.000 0.000 4.934
Th U
5 1
Cartesian
0.000 0.000 0.000 Th
2.467 5.016 2.467 Th
2.467 2.455 0.000 Th
2.467 -2.455 0.000 Th
2.467 -5.016 2.467 Th
2.467 0.000 2.467 U

GGA-PBE PmSmO3, optimized geometry; M_tot = 0.00 μB per cell; energy relative to the elements, uncorrected = -3.22 eV per atom; D(E_F) = 0.00 states/eV per atom
1.0
6.162 0.000 0.000
-3.081 5.336 0.000
0.000 0.000 3.165
Pm Sm O
1 1 3
Cartesian
0.000 0.000 0.000 Pm
3.081 1.779 0.000 Sm
1.547 0.893 1.582 O
4.615 0.893 1.582 O
3.081 3.550 1.582 O

GGA-PBE ReAgAs2, optimized geometry; M_tot = 0.00 μB per cell; D(E_F) = 0.64 states/eV per atom; calculated formation energy = 586 meV/atom; polymorph energy (0 for the lowest one) = 0.435 eV per atom
1.0
3.043 -4.386 0.000
3.043 4.386 0.000
-0.016 0.000 2.669
Re Ag As
1 1 2
Cartesian
0.000 0.000 0.000 Re
3.043 0.000 0.000 Ag
1.522 2.193 0.000 As
1.522 -2.193 0.000 As